Entry 1:
Entry from Alexandria: an optimized crystal structure of Pm8NdTm5 (PBE).

Properties
Formation enthalpy at 0 K ... 241.2 meV per atom
Volume ... 33.9 Å³ per atom

a b c (Å): 8.525 8.525 8.525
angles (deg): 111.59 105.32 111.59
Fractional positions:
Tm 0.039 0.315 0.131
Tm 0.817 0.685 0.724
Tm 0.869 0.907 0.183
Tm 0.500 0.000 0.500
Tm 0.276 0.093 0.961
Pm 0.162 0.734 0.076
Pm 0.531 0.605 0.274
Pm 0.342 0.266 0.428
Pm 0.073 0.743 0.469
Pm 0.572 0.913 0.838
Pm 0.670 0.395 0.927
Pm 0.726 0.257 0.330
Pm 0.924 0.087 0.658
Nd 0.250 0.500 0.750

***

Entry 2:
Entry from Alexandria: an optimized crystal structure of Dy4Y2Ho7 (PBE).

Properties
Formation enthalpy at 0 K ... 21.0 meV per atom
Volume ... 31.3 Å³ per atom

a b c (Å): 7.907 9.360 6.119
angles (deg): 96.23 97.43 65.11
Fractional positions:
Dy 0.078 0.153 0.537
Dy 0.922 0.847 0.463
Dy 0.616 0.230 0.308
Dy 0.384 0.770 0.692
Ho 0.845 0.693 0.923
Ho 0.155 0.307 0.077
Ho 0.000 0.000 0.000
Ho 0.538 0.077 0.769
Ho 0.229 0.461 0.615
Ho 0.462 0.923 0.231
Ho 0.771 0.539 0.385
Y 0.307 0.615 0.155
Y 0.693 0.385 0.845

***

Entry 3:
Entry from Alexandria: an optimized crystal structure of DySc4Co (PBE).

Properties
Formation enthalpy at 0 K ... -72.5 meV per atom
Volume ... 23.7 Å³ per atom

a b c (Å): 5.931 6.619 8.110
angles (deg): 105.51 111.46 90.00
Fractional positions:
Dy 0.053 0.250 0.000
Dy 0.947 0.750 0.000
Co 0.500 0.000 0.500
Co 0.000 0.500 0.500
Sc 0.677 0.490 0.197
Sc 0.705 0.360 0.602
Sc 0.104 0.140 0.398
Sc 0.896 0.860 0.602
Sc 0.480 0.010 0.803
Sc 0.520 0.990 0.197
Sc 0.295 0.640 0.398
Sc 0.323 0.510 0.803

***

Entry 4:
Entry from Alexandria: an optimized crystal structure of TlB2Mo2 (PBE).

Properties
Formation enthalpy at 0 K ... 574.5 meV per atom
Relative energy among the computed polymorphs ... 0 meV per atom
Volume ... 14.5 Å³ per atom

a b c (Å): 4.092 4.092 5.204
angles (deg): 66.85 66.85 90.00
Fractional positions:
B 0.750 0.250 0.500
B 0.250 0.750 0.500
Mo 0.339 0.339 0.322
Mo 0.661 0.661 0.678
Tl 0.000 0.000 0.000